# 1
DFT (PBE) results for a relaxed structure of Tb4Mg3Cd2.

The structure in extended XYZ format:
```
9
Lattice="5.305 0.001 0.001 2.652 4.589 0.168 -0.002 -0.366 9.889" Properties=species:S:1:pos:R:3 pbc="T T T"
Tb 5.304 2.739 8.820
Tb 2.652 4.469 3.404
Tb 5.304 -0.244 6.654
Tb 2.652 1.486 1.238
Mg 2.652 1.352 4.881
Mg 0.000 0.000 0.000
Mg 5.304 2.872 5.177
Cd 2.651 1.239 7.975
Cd 5.305 2.986 2.083
```

Total DFT energy (no corrections) ... -2.953 eV per atom
Fermi-level density of states ... 8.7 states/eV/cell
Space group ... No. 164

---

# 2
DFT (PBE) results for a relaxed structure of Tb3Mg4Cd.

The structure in extended XYZ format:
```
16
Lattice="5.050 0.000 0.000 0.000 8.141 0.000 0.000 0.000 10.101" Properties=species:S:1:pos:R:3 pbc="T T T"
Mg 2.525 5.985 0.000
Mg 2.525 5.985 5.050
Mg 2.525 2.157 0.000
Mg 2.525 2.157 5.050
Mg 5.049 5.984 7.576
Mg 0.001 5.984 2.525
Mg 0.001 2.157 2.525
Mg 5.049 2.157 7.576
Tb 0.000 0.000 0.000
Tb 0.000 0.000 5.050
Tb 2.524 0.000 7.576
Tb 2.526 0.000 2.525
Tb 2.524 4.071 7.576
Tb 2.526 4.071 2.525
Cd 0.000 4.071 0.000
Cd 0.000 4.071 5.050
```

Total DFT energy (no corrections) ... -2.731 eV per atom
Fermi-level density of states ... 16.5 states/eV/cell
Space group ... No. 123

---

# 3
DFT (PBE) results for a relaxed structure of Tb3MgCd2.

The structure in extended XYZ format:
```
6
Lattice="-1.483 -2.267 -2.650 3.388 -0.252 -1.680 2.449 -8.945 6.281" Properties=species:S:1:pos:R:3 pbc="T T T"
Tb 0.000 0.000 0.000
Tb 1.637 -5.978 4.198
Tb 0.812 -2.967 2.083
Mg 2.177 -5.732 0.975
Cd 2.988 -8.693 3.054
Cd 1.367 -2.771 -1.104
```

Fermi-level density of states ... 7.8 states/eV/cell
Space group ... No. 123
Energy above the lowest structure with this stoichiometry ... 5 meV/atom

---

Q: Fermi-level density of states of number 2 (Tb3Mg4Cd)?
A: 16.5 states/eV/cell

---

Q: Which of these has the lowest Fermi-level density of states?
A: Tb3MgCd2